A plane-wave DFT calculation with PBE was carried out for La2NdIO4 after structural relaxation.

a = 4.128 Å, b = 4.128 Å, c = 9.845 Å
α = 90.00°, β = 90.00°, γ = 90.00°
Space group P4/mmm (No. 123)
One atom of each set of equivalent atoms:
1 La 0.000 0.000 0.250 (multiplicity 2)
2 Nd 0.500 0.500 0.000 (multiplicity 1)
3 I 0.500 0.500 0.500 (multiplicity 1)
4 O 0.000 0.500 0.147 (multiplicity 4)

For the volume, the calculation gives 20.968 Å³ per atom. The uncorrected energy comes out at -61.3 eV/cell. As for the formation energy without anion corrections: -3162 meV per atom. As for the magnetic moment: 0.0 μB/f.u.

---

A plane-wave DFT calculation with PBE was carried out for LaNd2IO8 after structural relaxation.

a = 5.178 Å, b = 7.193 Å, c = 5.182 Å
α = 90.00°, β = 90.29°, γ = 90.00°
Space group P2/m (No. 10)
One atom of each set of equivalent atoms:
1 La 0.000 0.000 0.000 (multiplicity 1)
2 Nd 0.500 0.253 0.500 (multiplicity 2)
3 I 0.000 0.500 0.000 (multiplicity 1)
4 O 0.177 0.304 0.821 (multiplicity 4)
5 O 0.261 0.500 0.259 (multiplicity 2)
6 O 0.313 0.000 0.311 (multiplicity 2)

For the volume, the calculation gives 16.084 Å³ per atom. The uncorrected energy comes out at -82.8 eV/cell. As for the formation energy without anion corrections: -2258 meV per atom. As for the magnetic moment: 0.0 μB/f.u.

---

A plane-wave DFT calculation with PBE was carried out for LaNdPI after structural relaxation.

a = 4.2152 Å, b = 4.2152 Å, c = 23.6558 Å
α = 90.00°, β = 90.00°, γ = 120.00°
Space group R3m (No. 160, hexagonal axes)
One atom of each set of equivalent atoms:
1 La 0.0000 0.0000 0.0000 (multiplicity 3)
2 Nd 0.0000 0.0000 0.7959 (multiplicity 3)
3 P 0.0000 0.0000 0.4004 (multiplicity 3)
4 I 0.0000 0.0000 0.2285 (multiplicity 3)

For the volume, the calculation gives 30.331 Å³ per atom. The uncorrected energy comes out at -66.9 eV/cell. As for the formation energy without anion corrections: -1409 meV per atom. As for the magnetic moment: 0.0 μB/f.u.

---

A plane-wave DFT calculation with PBE was carried out for La2NdP2I2 after structural relaxation.

a = 5.421 Å, b = 5.421 Å, c = 16.681 Å
α = 90.00°, β = 90.00°, γ = 90.00°
Space group I4/mmm (No. 139)
One atom of each set of equivalent atoms:
1 La 0.000 0.000 0.098 (multiplicity 4)
2 Nd 0.000 0.000 0.500 (multiplicity 2)
3 P 0.000 0.500 0.000 (multiplicity 4)
4 I 0.000 0.000 0.306 (multiplicity 4)

For the volume, the calculation gives 35.019 Å³ per atom. The uncorrected energy comes out at -73.9 eV/cell. As for the formation energy without anion corrections: -1200 meV per atom. As for the magnetic moment: 0.9 μB/f.u.

---

A plane-wave DFT calculation with PBE was carried out for LaNdPdI after structural relaxation.

a = 4.2667 Å, b = 4.2667 Å, c = 24.6845 Å
α = 90.00°, β = 90.00°, γ = 120.00°
Space group R3m (No. 160, hexagonal axes)
One atom of each set of equivalent atoms:
1 La 0.0000 0.0000 0.0000 (multiplicity 3)
2 Nd 0.0000 0.0000 0.2052 (multiplicity 3)
3 Pd 0.0000 0.0000 0.6020 (multiplicity 3)
4 I 0.0000 0.0000 0.7713 (multiplicity 3)

For the volume, the calculation gives 32.432 Å³ per atom. The uncorrected energy comes out at -60.2 eV/cell. As for the formation energy without anion corrections: -903 meV per atom. As for the magnetic moment: 0.0 μB/f.u.

---

A plane-wave DFT calculation with PBE was carried out for LaNdPtI after structural relaxation.

a = 4.3021 Å, b = 4.3021 Å, c = 24.6780 Å
α = 90.00°, β = 90.00°, γ = 120.00°
Space group R3m (No. 160, hexagonal axes)
One atom of each set of equivalent atoms:
1 La 0.0000 0.0000 0.0000 (multiplicity 3)
2 Nd 0.0000 0.0000 0.7904 (multiplicity 3)
3 Pt 0.0000 0.0000 0.3957 (multiplicity 3)
4 I 0.0000 0.0000 0.5628 (multiplicity 3)

For the volume, the calculation gives 32.964 Å³ per atom. The uncorrected energy comes out at -65.8 eV/cell. As for the formation energy without anion corrections: -1158 meV per atom. As for the magnetic moment: 0.0 μB/f.u.

---

A plane-wave DFT calculation with PBE was carried out for La2NdPt2I2 after structural relaxation.

a = 5.409 Å, b = 5.409 Å, c = 16.672 Å
α = 90.00°, β = 90.00°, γ = 90.00°
Space group I4/mmm (No. 139)
One atom of each set of equivalent atoms:
1 La 0.000 0.000 0.104 (multiplicity 4)
2 Nd 0.000 0.000 0.500 (multiplicity 2)
3 Pt 0.000 0.500 0.000 (multiplicity 4)
4 I 0.000 0.000 0.304 (multiplicity 4)

For the volume, the calculation gives 34.837 Å³ per atom. The uncorrected energy comes out at -73.1 eV/cell. As for the formation energy without anion corrections: -964 meV per atom. As for the magnetic moment: 0.0 μB/f.u.

---

A plane-wave DFT calculation with PBE was carried out for LaNdRhI after structural relaxation.

a = 4.1943 Å, b = 4.1943 Å, c = 24.8217 Å
α = 90.00°, β = 90.00°, γ = 120.00°
Space group R3m (No. 160, hexagonal axes)
One atom of each set of equivalent atoms:
1 La 0.0000 0.0000 0.0000 (multiplicity 3)
2 Nd 0.0000 0.0000 0.7902 (multiplicity 3)
3 Rh 0.0000 0.0000 0.3938 (multiplicity 3)
4 I 0.0000 0.0000 0.5607 (multiplicity 3)

For the volume, the calculation gives 31.517 Å³ per atom. The uncorrected energy comes out at -67.7 eV/cell. As for the formation energy without anion corrections: -989 meV per atom. As for the magnetic moment: 0.0 μB/f.u.

---

A plane-wave DFT calculation with PBE was carried out for LaNdRuI after structural relaxation.

a = 7.210 Å, b = 4.169 Å, c = 8.613 Å
α = 90.00°, β = 106.12°, γ = 90.00°
Space group Cm (No. 8)
One atom of each set of equivalent atoms:
1 La 0.000 0.000 0.000 (multiplicity 2)
2 Nd 0.290 0.500 0.369 (multiplicity 2)
3 Ru 0.393 0.000 0.177 (multiplicity 2)
4 I 0.225 0.000 0.674 (multiplicity 2)

For the volume, the calculation gives 31.087 Å³ per atom. The uncorrected energy comes out at -46.5 eV/cell. As for the formation energy without anion corrections: -684 meV per atom. As for the magnetic moment: 0.0 μB/f.u.

---

A plane-wave DFT calculation with PBE was carried out for LaNdSbI after structural relaxation.

a = 7.861 Å, b = 7.861 Å, c = 7.861 Å
α = 90.00°, β = 90.00°, γ = 90.00°
Space group F-43m (No. 216)
One atom of each set of equivalent atoms:
1 La 0.000 0.000 0.000 (multiplicity 4)
2 Nd 0.000 0.000 0.500 (multiplicity 4)
3 Sb 0.250 0.250 0.250 (multiplicity 4)
4 I 0.250 0.250 0.750 (multiplicity 4)

For the volume, the calculation gives 30.364 Å³ per atom. The uncorrected energy comes out at -78.1 eV/cell. As for the formation energy without anion corrections: -1040 meV per atom. As for the magnetic moment: 0.2 μB/f.u.

---

A plane-wave DFT calculation with PBE was carried out for LaNdSeI after structural relaxation.

a = 4.1824 Å, b = 4.1824 Å, c = 24.3928 Å
α = 90.00°, β = 90.00°, γ = 120.00°
Space group R3m (No. 160, hexagonal axes)
One atom of each set of equivalent atoms:
1 La 0.0000 0.0000 0.0000 (multiplicity 3)
2 Nd 0.0000 0.0000 0.8055 (multiplicity 3)
3 Se 0.0000 0.0000 0.4042 (multiplicity 3)
4 I 0.0000 0.0000 0.2334 (multiplicity 3)

For the volume, the calculation gives 30.791 Å³ per atom. The uncorrected energy comes out at -61.2 eV/cell. As for the formation energy without anion corrections: -1414 meV per atom. As for the magnetic moment: 0.4 μB/f.u.

---

A plane-wave DFT calculation with PBE was carried out for LaNdSnI after structural relaxation.

a = 7.915 Å, b = 7.915 Å, c = 7.915 Å
α = 90.00°, β = 90.00°, γ = 90.00°
Space group F-43m (No. 216)
One atom of each set of equivalent atoms:
1 La 0.000 0.000 0.000 (multiplicity 4)
2 Nd 0.000 0.000 0.500 (multiplicity 4)
3 Sn 0.250 0.250 0.750 (multiplicity 4)
4 I 0.250 0.250 0.250 (multiplicity 4)

For the volume, the calculation gives 30.995 Å³ per atom. The uncorrected energy comes out at -73.8 eV/cell. As for the formation energy without anion corrections: -803 meV per atom. As for the magnetic moment: 0.0 μB/f.u.

---

A plane-wave DFT calculation with PBE was carried out for LaNdTeI after structural relaxation.

a = 7.825 Å, b = 7.825 Å, c = 7.825 Å
α = 90.00°, β = 90.00°, γ = 90.00°
Space group F-43m (No. 216)
One atom of each set of equivalent atoms:
1 La 0.000 0.000 0.000 (multiplicity 4)
2 Nd 0.000 0.000 0.500 (multiplicity 4)
3 Te 0.250 0.250 0.250 (multiplicity 4)
4 I 0.250 0.250 0.750 (multiplicity 4)

For the volume, the calculation gives 29.942 Å³ per atom. The uncorrected energy comes out at -76.5 eV/cell. As for the formation energy without anion corrections: -1184 meV per atom. As for the magnetic moment: 0.0 μB/f.u.

---

A plane-wave DFT calculation with PBE was carried out for LaNdTeI2 after structural relaxation.

a = 7.840 Å, b = 4.431 Å, c = 11.832 Å
α = 90.00°, β = 104.63°, γ = 90.00°
Space group P2_1/m (No. 11)
One atom of each set of equivalent atoms:
1 La 0.116 0.250 0.158 (multiplicity 2)
2 Nd 0.216 0.250 0.495 (multiplicity 2)
3 Te 0.014 0.750 0.323 (multiplicity 2)
4 I 0.279 0.750 0.011 (multiplicity 2)
5 I 0.482 0.750 0.658 (multiplicity 2)

For the volume, the calculation gives 39.770 Å³ per atom. The uncorrected energy comes out at -45.3 eV/cell. As for the formation energy without anion corrections: -1342 meV per atom. As for the magnetic moment: 0.0 μB/f.u.

---

A plane-wave DFT calculation with PBE was carried out for La2NiI after structural relaxation.

a = 4.2034 Å, b = 4.2034 Å, c = 24.7270 Å
α = 90.00°, β = 90.00°, γ = 120.00°
Space group R3m (No. 160, hexagonal axes)
One atom of each set of equivalent atoms:
1 La 0.0000 0.0000 0.0000 (multiplicity 3)
2 La 0.0000 0.0000 0.2112 (multiplicity 3)
3 Ni 0.0000 0.0000 0.6058 (multiplicity 3)
4 I 0.0000 0.0000 0.4382 (multiplicity 3)

For the volume, the calculation gives 31.530 Å³ per atom. The uncorrected energy comes out at -60.3 eV/cell. For the excess energy over the best structure of this formula in the dataset, the calculation gives 5 meV per atom. As for the formation energy without anion corrections: -730 meV per atom. As for the magnetic moment: 0.0 μB/f.u.

---

A plane-wave DFT calculation with PBE was carried out for La2NiI after structural relaxation.

a = 7.911 Å, b = 7.911 Å, c = 8.130 Å
α = 90.00°, β = 90.00°, γ = 90.00°
Space group I-42d (No. 122)
One atom of each set of equivalent atoms:
1 La 0.184 0.250 0.125 (multiplicity 8)
2 Ni 0.000 0.000 0.000 (multiplicity 4)
3 I 0.000 0.000 0.500 (multiplicity 4)

For the volume, the calculation gives 31.796 Å³ per atom. The uncorrected energy comes out at -76.0 eV/cell. For the excess energy over the best structure of this formula in the dataset, the calculation gives 280 meV per atom. As for the formation energy without anion corrections: -456 meV per atom. As for the magnetic moment: 0.0 μB/f.u.

---

A plane-wave DFT calculation with PBE was carried out for La2NiI after structural relaxation.

a = 4.2145 Å, b = 4.2145 Å, c = 24.6415 Å
α = 90.00°, β = 90.00°, γ = 120.00°
Space group R-3m (No. 166, hexagonal axes)
One atom of each set of equivalent atoms:
1 La 0.0000 0.0000 0.2278 (multiplicity 6)
2 Ni 0.0000 0.0000 0.5000 (multiplicity 3)
3 I 0.0000 0.0000 0.0000 (multiplicity 3)

For the volume, the calculation gives 31.586 Å³ per atom. The uncorrected energy comes out at -60.4 eV/cell. For the excess energy over the best structure of this formula in the dataset, the calculation gives 0 meV per atom. As for the formation energy without anion corrections: -736 meV per atom. As for the magnetic moment: 0.0 μB/f.u.

---

A plane-wave DFT calculation with PBE was carried out for LaNiI2 after structural relaxation.

a = 7.804 Å, b = 7.804 Å, c = 7.186 Å
α = 90.00°, β = 90.00°, γ = 90.00°
Space group I-42d (No. 122)
One atom of each set of equivalent atoms:
1 La 0.000 0.000 0.000 (multiplicity 4)
2 Ni 0.000 0.000 0.500 (multiplicity 4)
3 I 0.173 0.250 0.625 (multiplicity 8)

For the volume, the calculation gives 27.352 Å³ per atom. The uncorrected energy comes out at -62.5 eV/cell. For the excess energy over the best structure of this formula in the dataset, the calculation gives 0 meV per atom. As for the formation energy without anion corrections: -455 meV per atom. As for the magnetic moment: 0.0 μB/f.u.

---

A plane-wave DFT calculation with PBE was carried out for LaNiI2 after structural relaxation.

a = 7.613 Å, b = 7.613 Å, c = 7.613 Å
α = 90.00°, β = 90.00°, γ = 90.00°
Space group Fm-3m (No. 225)
One atom of each set of equivalent atoms:
1 La 0.000 0.000 0.000 (multiplicity 4)
2 Ni 0.000 0.000 0.500 (multiplicity 4)
3 I 0.250 0.250 0.250 (multiplicity 8)

For the volume, the calculation gives 27.573 Å³ per atom. The uncorrected energy comes out at -59.9 eV/cell. For the excess energy over the best structure of this formula in the dataset, the calculation gives 163 meV per atom. As for the formation energy without anion corrections: -293 meV per atom. As for the magnetic moment: 0.0 μB/f.u.

---

A plane-wave DFT calculation with PBE was carried out for La3Ni3I after structural relaxation.

a = 9.8836 Å, b = 9.8836 Å, c = 4.2302 Å
α = 90.00°, β = 90.00°, γ = 120.00°
Space group P6_3/m (No. 176)
One atom of each set of equivalent atoms:
1 La 0.0625 0.6992 0.2500 (multiplicity 6)
2 Ni 0.0221 0.8671 0.7500 (multiplicity 6)
3 I 0.3333 0.6667 0.7500 (multiplicity 2)

For the volume, the calculation gives 25.562 Å³ per atom. The uncorrected energy comes out at -74.9 eV/cell. As for the formation energy without anion corrections: -538 meV per atom. As for the magnetic moment: 0.0 μB/f.u.